An optimized crystal structure of Ba2Zn2Cd. Source: the Alexandria database, functional PBE-GGA.

Lattice parameters (Å, degrees): 4.1320 4.1320 19.9716 90.00 90.00 90.00
Space group I4/mmm (No. 139)
Symmetry-distinct sites (fractional):
Ba1 0.0000 0.0000 0.1096 (multiplicity 4)
Zn1 0.0000 0.5000 0.2500 (multiplicity 4)
Cd1 0.0000 0.0000 0.5000 (multiplicity 2)

* uncorrected energy: -15.51 eV/cell
* D(E_F): 9.12 states/eV/cell
* ΔE to the lowest computed polymorph: 0.599 eV per formula unit



An optimized crystal structure of TiSiOs. Source: the Alexandria database, functional PBE-GGA.

Lattice parameters (Å, degrees): 7.1156 11.2124 6.4986 90.00 90.00 90.00
Space group Ima2 (No. 46)
Symmetry-distinct sites (fractional):
Ti1 0.2500 0.0038 0.0000 (multiplicity 4)
Ti2 0.2500 0.2236 0.6471 (multiplicity 4)
Ti3 0.2500 0.6960 0.1228 (multiplicity 4)
Si1 0.0069 0.6673 0.4213 (multiplicity 8)
Si2 0.2500 0.0326 0.4094 (multiplicity 4)
Os1 0.0000 0.0000 0.6715 (multiplicity 4)
Os2 0.0361 0.6269 0.7926 (multiplicity 8)

* uncorrected energy: -322.87 eV/cell
* uncorrected formation energy: -0.79 eV/atom
* D(E_F): 11.29 states/eV/cell



An optimized crystal structure of TaIrW2. Source: the Alexandria database, functional PBE-GGA.

Lattice parameters (Å, degrees): 3.2398 3.2398 6.2106 90.00 90.00 90.00
Space group P4/mmm (No. 123)
Symmetry-distinct sites (fractional):
Ta1 0.0000 0.0000 0.0000 (multiplicity 1)
Ir1 0.0000 0.0000 0.5000 (multiplicity 1)
W1 0.5000 0.5000 0.2507 (multiplicity 2)

* uncorrected energy: -46.40 eV/cell
* D(E_F): 3.07 states/eV/cell
* ΔE to the lowest computed polymorph: 0.624 eV per formula unit



An optimized crystal structure of Nd3Zn7Ir2. Source: the Alexandria database, functional PBE-GGA.

Lattice parameters (Å, degrees): 5.5290 5.5290 25.9784 90.00 90.00 120.00
Space group R-3m (No. 166, hexagonal axes)
Symmetry-distinct sites (fractional):
Nd1 0.0000 0.0000 0.0000 (multiplicity 3)
Nd2 0.0000 0.0000 0.1479 (multiplicity 6)
Zn1 0.0000 0.0000 0.5000 (multiplicity 3)
Zn2 0.0038 0.5019 0.0791 (multiplicity 18)
Ir1 0.0000 0.0000 0.3333 (multiplicity 6)

* uncorrected energy: -134.10 eV/cell
* D(E_F): 28.00 states/eV/cell



An optimized crystal structure of CaY3Tl2. Source: the Alexandria database, functional PBE-GGA.

Lattice parameters (Å, degrees): 5.3864 9.4341 6.8747 90.00 90.00 90.00
Space group Pmc2_1 (No. 26)
Symmetry-distinct sites (fractional):
Ca1 0.0000 0.0194 0.0000 (multiplicity 2)
Y1 0.0000 0.3320 0.7157 (multiplicity 2)
Y2 0.5000 0.1697 0.2718 (multiplicity 2)
Y3 0.5000 0.4842 0.9868 (multiplicity 2)
Tl1 0.0000 0.3379 0.2368 (multiplicity 2)
Tl2 0.5000 0.1653 0.7506 (multiplicity 2)

* uncorrected energy: -56.13 eV/cell
* D(E_F): 8.62 states/eV/cell



An optimized crystal structure of Cr2IrPt2. Source: the Alexandria database, functional PBE-GGA.

Lattice parameters (Å, degrees): 7.2141 7.2141 2.7394 90.00 90.00 90.00
Space group P4/mbm (No. 127)
Symmetry-distinct sites (fractional):
Cr1 0.1134 0.3866 0.0000 (multiplicity 4)
Ir1 0.0000 0.0000 0.0000 (multiplicity 2)
Pt1 0.1779 0.6779 0.5000 (multiplicity 4)

* uncorrected energy: -78.65 eV/cell
* D(E_F): 12.91 states/eV/cell
* ΔE to the lowest computed polymorph: 0.323 eV per formula unit



An optimized crystal structure of K3LiCd. Source: the Alexandria database, functional PBE-GGA.

Lattice parameters (Å, degrees): 6.7680 6.7680 6.7680 90.00 90.00 90.00
Space group Pm-3m (No. 221)
Symmetry-distinct sites (fractional):
K1 0.0000 0.0000 0.5000 (multiplicity 3)
Li1 0.5000 0.5000 0.5000 (multiplicity 1)
Cd1 0.0000 0.0000 0.0000 (multiplicity 1)

* uncorrected energy: -5.11 eV/cell
* D(E_F): 4.56 states/eV/cell
* ΔE to the lowest computed polymorph: 0.000 eV per formula unit



An optimized crystal structure of TbPr4Sm2Tm. Source: the Alexandria database, functional PBE-GGA.

Lattice parameters (Å, degrees): 5.1631 5.1897 10.2155 90.00 90.00 90.00
Space group Pmmm (No. 47)
Symmetry-distinct sites (fractional):
Tb1 0.0000 0.0000 0.0000 (multiplicity 1)
Pr1 0.0000 0.5000 0.2515 (multiplicity 2)
Pr2 0.5000 0.0000 0.2509 (multiplicity 2)
Sm1 0.0000 0.0000 0.5000 (multiplicity 1)
Sm2 0.5000 0.5000 0.0000 (multiplicity 1)
Tm1 0.5000 0.5000 0.5000 (multiplicity 1)

* uncorrected energy: -37.56 eV/cell
* D(E_F): 10.86 states/eV/cell



An optimized crystal structure of Sc7C5. Source: the Alexandria database, functional PBE-GGA.

Lattice parameters (Å, degrees): 10.9293 3.3232 9.8340 90.00 106.06 90.00
Space group C2/m (No. 12)
Symmetry-distinct sites (fractional):
Sc1 0.0000 0.0000 0.0000 (multiplicity 2)
Sc2 0.0456 0.5000 0.2861 (multiplicity 4)
Sc3 0.1517 0.0000 0.5542 (multiplicity 4)
Sc4 0.2353 0.0000 0.8646 (multiplicity 4)
C1 0.0000 0.5000 0.5000 (multiplicity 2)
C2 0.1151 0.5000 0.9250 (multiplicity 4)
C3 0.1913 0.0000 0.3095 (multiplicity 4)

* uncorrected energy: -190.84 eV/cell
* D(E_F): 9.49 states/eV/cell
* ΔE to the lowest computed polymorph: 0.000 eV per formula unit



An optimized crystal structure of Eu3Te12Mo5. Source: the Alexandria database, functional PBE-GGA.

Lattice parameters (Å, degrees): 17.2732 17.2732 17.2732 90.00 90.00 90.00
Space group Ia-3d (No. 230)
Symmetry-distinct sites (fractional):
Eu1 0.0000 0.2500 0.1250 (multiplicity 24)
Te1 0.0344 0.0597 0.6456 (multiplicity 96)
Mo1 0.0000 0.0000 0.0000 (multiplicity 16)
Mo2 0.0000 0.2500 0.3750 (multiplicity 24)

* uncorrected energy: -1020.52 eV/cell
* uncorrected formation energy: -0.24 eV/atom
* D(E_F): 327.56 states/eV/cell



An optimized crystal structure of InMo. Source: the Alexandria database, functional PBE-GGA.

Lattice parameters (Å, degrees): 10.2999 3.2295 7.6573 90.00 114.43 90.00
Space group C2/m (No. 12)
Symmetry-distinct sites (fractional):
In1 0.0000 0.0000 0.0000 (multiplicity 2)
In2 0.1836 0.5000 0.7991 (multiplicity 4)
Mo1 0.0000 0.0000 0.5000 (multiplicity 2)
Mo2 0.1533 0.5000 0.3720 (multiplicity 4)

* uncorrected energy: -77.96 eV/cell
* D(E_F): 8.44 states/eV/cell
* ΔE to the lowest computed polymorph: 0.148 eV per formula unit



An optimized crystal structure of Hf2ZrTcH. Source: the Alexandria database, functional PBE-GGA.

Lattice parameters (Å, degrees): 5.0084 5.0084 5.0650 90.00 90.00 90.00
Space group P4/mmm (No. 123)
Symmetry-distinct sites (fractional):
Hf1 0.0000 0.5000 0.0000 (multiplicity 2)
Zr1 0.0000 0.0000 0.5000 (multiplicity 1)
Tc1 0.0000 0.0000 0.0000 (multiplicity 1)
H1 0.5000 0.5000 0.5000 (multiplicity 1)

* uncorrected energy: -36.79 eV/cell
* D(E_F): 7.43 states/eV/cell